Record 1
Density functional theory data (PBE) for a relaxed Er2CdRu crystal.

Crystal system = trigonal
Energy above the most stable polymorph in this dataset = 260 meV per atom
E_form = -0.1845 eV per atom
Electronic total energy = -5.0137 eV/atom
Calculated volume = 24.5 Å³ per atom
Spin magnetization = 0.000 μB/cell
Mass density = 9293 kg/m³

```
data_Er2CdRu
_chemical_formula_sum 'Er6 Cd3 Ru3'
_space_group_name_H-M_alt 'R -3 m'
_space_group_IT_number 166
_space_group_name_Hall '-R 3 2"'
_cell_length_a 3.6195
_cell_length_b 3.6195
_cell_length_c 25.8925
_cell_angle_alpha 90.00
_cell_angle_beta 90.00
_cell_angle_gamma 120.00
loop_
_atom_site_label
_atom_site_fract_x
_atom_site_fract_y
_atom_site_fract_z
Er1 0.0000 0.0000 0.2359
Cd1 0.0000 0.0000 0.0000
Ru1 0.0000 0.0000 0.5000
```

---

Record 2
Density functional theory data (PBE) for a relaxed Er8CdRu2 crystal.

Crystal system = monoclinic
Energy above the most stable polymorph in this dataset = 14 meV per atom
E_form = -0.2289 eV per atom
Electronic total energy = -5.3171 eV/atom
Calculated volume = 26.9 Å³ per atom
Spin magnetization = 0.000 μB/cell
Mass density = 9274 kg/m³

```
data_Er8CdRu2
_chemical_formula_sum 'Er16 Cd2 Ru4'
_space_group_name_H-M_alt 'C 1 2/m 1'
_space_group_IT_number 12
_space_group_name_Hall '-C 2y'
_cell_length_a 8.6591
_cell_length_b 12.9344
_cell_length_c 5.4413
_cell_angle_alpha 90.00
_cell_angle_beta 103.81
_cell_angle_gamma 90.00
loop_
_atom_site_label
_atom_site_fract_x
_atom_site_fract_y
_atom_site_fract_z
Er1 0.0000 0.2478 0.0000
Er2 0.1162 0.5000 0.8013
Er3 0.1976 0.1324 0.5811
Cd1 0.0000 0.0000 0.0000
Ru1 0.0000 0.3135 0.5000
```

---

Record 3
Density functional theory data (PBE) for a relaxed Er2CdRu crystal.

Crystal system = tetragonal
Energy above the most stable polymorph in this dataset = 0 meV per atom
E_form = -0.4446 eV per atom
Electronic total energy = -5.2738 eV/atom
Calculated volume = 22.4 Å³ per atom
Spin magnetization = 0.000 μB/cell
Mass density = 10136 kg/m³

```
data_Er2CdRu
_chemical_formula_sum 'Er2 Cd1 Ru1'
_space_group_name_H-M_alt 'P 4/m m m'
_space_group_IT_number 123
_space_group_name_Hall '-P 4 2'
_cell_length_a 3.4306
_cell_length_b 3.4306
_cell_length_c 7.6282
_cell_angle_alpha 90.00
_cell_angle_beta 90.00
_cell_angle_gamma 90.00
loop_
_atom_site_label
_atom_site_fract_x
_atom_site_fract_y
_atom_site_fract_z
Er1 0.0000 0.0000 0.2147
Cd1 0.5000 0.5000 0.5000
Ru1 0.5000 0.5000 0.0000
```

---

Record 4
Density functional theory data (PBE) for a relaxed Er8CdRu2 crystal.

Crystal system = orthorhombic
Energy above the most stable polymorph in this dataset = 0 meV per atom
E_form = -0.2428 eV per atom
Electronic total energy = -5.3309 eV/atom
Calculated volume = 25.6 Å³ per atom
Spin magnetization = 0.000 μB/cell
Mass density = 9747 kg/m³

```
data_Er8CdRu2
_chemical_formula_sum 'Er16 Cd2 Ru4'
_space_group_name_H-M_alt 'I m m 2'
_space_group_IT_number 44
_space_group_name_Hall 'I 2 -2'
_cell_length_a 5.2312
_cell_length_b 15.7103
_cell_length_c 6.8516
_cell_angle_alpha 90.00
_cell_angle_beta 90.00
_cell_angle_gamma 90.00
loop_
_atom_site_label
_atom_site_fract_x
_atom_site_fract_y
_atom_site_fract_z
Er1 0.0000 0.0000 0.0000
Er2 0.0000 0.1105 0.4574
Er3 0.0000 0.2888 0.1305
Er4 0.0000 0.3341 0.5947
Er5 0.0000 0.5000 0.2236
Cd1 0.0000 0.5000 0.7973
Ru1 0.0000 0.1709 0.8246
```

---

Record 5
Density functional theory data (PBE) for a relaxed Er8Cd2Ru crystal.

Crystal system = monoclinic
E_form = -0.2060 eV per atom
Electronic total energy = -4.5340 eV/atom
Calculated volume = 26.9 Å³ per atom
Spin magnetization = 0.000 μB/cell
Mass density = 9321 kg/m³

```
data_Er8Cd2Ru
_chemical_formula_sum 'Er16 Cd4 Ru2'
_space_group_name_H-M_alt 'C 1 2/m 1'
_space_group_IT_number 12
_space_group_name_Hall '-C 2y'
_cell_length_a 17.2621
_cell_length_b 5.3185
_cell_length_c 6.9098
_cell_angle_alpha 90.00
_cell_angle_beta 110.83
_cell_angle_gamma 90.00
loop_
_atom_site_label
_atom_site_fract_x
_atom_site_fract_y
_atom_site_fract_z
Er1 0.0197 0.0000 0.2860
Er2 0.0940 0.5000 0.9162
Er3 0.1510 0.5000 0.4449
Er4 0.1949 0.0000 0.7779
Cd1 0.1822 0.0000 0.1997
Ru1 0.0000 0.5000 0.5000
```

---

Record 6
Density functional theory data (PBE) for a relaxed Er4Cd3Ru crystal.

Crystal system = tetragonal
E_form = -0.3698 eV per atom
Electronic total energy = -4.1539 eV/atom
Calculated volume = 24.0 Å³ per atom
Spin magnetization = 0.152 μB/cell
Mass density = 9587 kg/m³

```
data_Er4Cd3Ru
_chemical_formula_sum 'Er4 Cd3 Ru1'
_space_group_name_H-M_alt 'P 4/m m m'
_space_group_IT_number 123
_space_group_name_Hall '-P 4 2'
_cell_length_a 3.4504
_cell_length_b 3.4504
_cell_length_c 16.1101
_cell_angle_alpha 90.00
_cell_angle_beta 90.00
_cell_angle_gamma 90.00
loop_
_atom_site_label
_atom_site_fract_x
_atom_site_fract_y
_atom_site_fract_z
Er1 0.0000 0.0000 0.1009
Er2 0.0000 0.0000 0.3675
Cd1 0.5000 0.5000 0.2387
Cd2 0.5000 0.5000 0.5000
Ru1 0.5000 0.5000 0.0000
```

---

Record 7
Density functional theory data (PBE) for a relaxed Er6CdRu crystal.

Crystal system = tetragonal
Energy above the most stable polymorph in this dataset = 0 meV per atom
E_form = -0.1244 eV per atom
Electronic total energy = -4.8204 eV/atom
Calculated volume = 26.6 Å³ per atom
Spin magnetization = 0.007 μB/cell
Mass density = 9482 kg/m³

```
data_Er6CdRu
_chemical_formula_sum 'Er12 Cd2 Ru2'
_space_group_name_H-M_alt 'I 4/m m m'
_space_group_IT_number 139
_space_group_name_Hall '-I 4 2'
_cell_length_a 5.0182
_cell_length_b 5.0182
_cell_length_c 16.9276
_cell_angle_alpha 90.00
_cell_angle_beta 90.00
_cell_angle_gamma 90.00
loop_
_atom_site_label
_atom_site_fract_x
_atom_site_fract_y
_atom_site_fract_z
Er1 0.0000 0.0000 0.2501
Er2 0.0000 0.5000 0.1013
Cd1 0.0000 0.0000 0.0000
Ru1 0.0000 0.0000 0.5000
```

---

Record 8
Density functional theory data (PBE) for a relaxed Er4CdRu2 crystal.

Crystal system = tetragonal
E_form = -0.2459 eV per atom
Electronic total energy = -5.6342 eV/atom
Calculated volume = 23.5 Å³ per atom
Spin magnetization = 0.000 μB/cell
Mass density = 9914 kg/m³

```
data_Er4CdRu2
_chemical_formula_sum 'Er16 Cd4 Ru8'
_space_group_name_H-M_alt 'I -4 2 d'
_space_group_IT_number 122
_space_group_name_Hall 'I -4 2bw'
_cell_length_a 8.7526
_cell_length_b 8.7526
_cell_length_c 8.6024
_cell_angle_alpha 90.00
_cell_angle_beta 90.00
_cell_angle_gamma 90.00
loop_
_atom_site_label
_atom_site_fract_x
_atom_site_fract_y
_atom_site_fract_z
Er1 0.0716 0.1733 0.3273
Cd1 0.0000 0.0000 0.0000
Ru1 0.1445 0.2500 0.6250
```

---

Record 9
Density functional theory data (PBE) for a relaxed Er6CdRu5 crystal.

Crystal system = monoclinic
E_form = -0.4014 eV per atom
Electronic total energy = -6.6240 eV/atom
Calculated volume = 20.0 Å³ per atom
Spin magnetization = 0.000 μB/cell
Mass density = 11224 kg/m³

```
data_Er6CdRu5
_chemical_formula_sum 'Er6 Cd1 Ru5'
_space_group_name_H-M_alt 'P 1 2/m 1'
_space_group_IT_number 10
_space_group_name_Hall '-P 2y'
_cell_length_a 4.8354
_cell_length_b 6.8771
_cell_length_c 7.6031
_cell_angle_alpha 90.00
_cell_angle_beta 108.42
_cell_angle_gamma 90.00
loop_
_atom_site_label
_atom_site_fract_x
_atom_site_fract_y
_atom_site_fract_z
Er1 0.0000 0.2342 0.0000
Er2 0.3271 0.2441 0.6546
Cd1 0.5000 0.5000 0.0000
Ru1 0.1636 0.5000 0.3267
Ru2 0.1664 0.0000 0.3325
Ru3 0.5000 0.0000 0.0000
```

---

Record 10
Density functional theory data (PBE) for a relaxed SmErCdRu crystal.

Crystal system = cubic
Energy above the most stable polymorph in this dataset = 110 meV per atom
E_form = -0.2578 eV per atom
Electronic total energy = -5.1261 eV/atom
Calculated volume = 22.9 Å³ per atom
Spin magnetization = 0.000 μB/cell
Mass density = 9610 kg/m³

```
data_SmErCdRu
_chemical_formula_sum 'Sm4 Er4 Cd4 Ru4'
_space_group_name_H-M_alt 'F -4 3 m'
_space_group_IT_number 216
_space_group_name_Hall 'F -4 2 3'
_cell_length_a 7.1600
_cell_length_b 7.1600
_cell_length_c 7.1600
_cell_angle_alpha 90.00
_cell_angle_beta 90.00
_cell_angle_gamma 90.00
loop_
_atom_site_label
_atom_site_fract_x
_atom_site_fract_y
_atom_site_fract_z
Sm1 0.0000 0.0000 0.0000
Er1 0.0000 0.0000 0.5000
Cd1 0.2500 0.2500 0.2500
Ru1 0.2500 0.2500 0.7500
```